1.
{"formula": "AcPuNi", "functional": "PBE-GGA", "state": "optimized geometry", "lattice": [[3.591, 0.000, 0.000], [0.000, 3.591, 0.000], [0.000, 0.000, 12.358]], "species": ["Ac", "Ac", "Pu", "Pu", "Ni", "Ni"], "fractional_positions": [[0.000, 0.000, 0.000], [0.500, 0.500, 0.500], [0.000, 0.000, 0.268], [0.500, 0.500, 0.768], [0.000, 0.000, 0.656], [0.500, 0.500, 0.156]], "space_group": "I4mm, No. 107", "m_tot_mub_per_cell": 12.00, "ef_ev_per_atom": 0.077, "e_tot_ev_per_atom": -8.00, "density_g_cm3": 11.04}

***

2.
{"formula": "Sc7Tl2Bi2", "functional": "PBE-GGA", "state": "optimized geometry", "lattice": [[4.101, -5.210, 0.000], [4.101, 5.210, 0.000], [0.000, 0.000, 7.078]], "species": ["Sc", "Sc", "Sc", "Sc", "Sc", "Sc", "Sc", "Tl", "Tl", "Bi", "Bi"], "fractional_positions": [[0.000, 0.000, 0.000], [0.000, 0.500, 0.287], [0.000, 0.500, 0.713], [0.500, 0.000, 0.287], [0.500, 0.000, 0.713], [0.500, 0.500, 0.282], [0.500, 0.500, 0.718], [0.182, 0.182, 0.500], [0.818, 0.818, 0.500], [0.288, 0.712, 0.000], [0.712, 0.288, 0.000]], "space_group": "Cmmm, No. 65", "m_tot_mub_per_cell": 3.44, "ef_ev_per_atom": -0.083, "e_tot_ev_per_atom": -5.25, "density_g_cm3": 6.27}